Entry 1:
Material: SmZnPtPb
Method: DFT, PBE
State: optimized geometry

Unit cell a=4.976 b=4.976 c=4.976 alpha=60.00 beta=60.00 gamma=60.00
Atoms (fractional coordinates):
Pb 0.500 0.500 0.500
Zn 0.250 0.250 0.250
Sm 0.000 0.000 0.000
Pt 0.750 0.750 0.750

Results
- calculated total energy (eV/atom) = -4.4682
- energy of formation (eV/atom) = -0.533
- total magnetic moment (μB/cell) = 0.0



Entry 2:
Material: Sn2PtPb
Method: DFT, PBE
State: optimized geometry

Unit cell a=3.448 b=3.448 c=8.137 alpha=90.00 beta=90.00 gamma=90.00
Atoms (fractional coordinates):
Pb 0.500 0.500 0.500
Sn 0.000 0.000 0.803
Sn 0.000 0.000 0.197
Pt 0.500 0.500 0.000

Results
- calculated total energy (eV/atom) = -4.6200
- energy of formation (eV/atom) = -0.181
- total magnetic moment (μB/cell) = 0.0



Entry 3:
Material: Sn2PtPb
Method: DFT, PBE
State: optimized geometry

Unit cell a=5.277 b=5.277 c=9.221 alpha=73.37 beta=73.37 gamma=90.00
Atoms (fractional coordinates):
Pb 0.000 0.000 0.000
Pb 0.750 0.250 0.500
Sn 0.543 0.125 0.250
Sn 0.207 0.625 0.250
Sn 0.375 0.457 0.750
Sn 0.875 0.793 0.750
Pt 0.500 0.500 0.000
Pt 0.250 0.750 0.500

Results
- calculated total energy (eV/atom) = -4.4485
- energy of formation (eV/atom) = -0.010
- total magnetic moment (μB/cell) = 0.0



Entry 4:
Material: SnPtPb2
Method: DFT, PBE
State: optimized geometry

Unit cell a=5.375 b=5.375 c=9.362 alpha=73.32 beta=73.32 gamma=90.00
Atoms (fractional coordinates):
Pb 0.682 0.125 0.250
Pb 0.068 0.625 0.250
Pb 0.375 0.318 0.750
Pb 0.875 0.932 0.750
Sn 0.500 0.500 0.000
Sn 0.250 0.750 0.500
Pt 0.000 0.000 0.000
Pt 0.750 0.250 0.500

Results
- calculated total energy (eV/atom) = -4.1619
- energy of formation (eV/atom) = 0.203
- total magnetic moment (μB/cell) = 0.0



Entry 5:
Material: Sn2Pt9Pb
Method: DFT, PBE
State: optimized geometry

Unit cell a=4.083 b=4.083 c=12.245 alpha=90.00 beta=90.00 gamma=90.00
Atoms (fractional coordinates):
Sn 0.000 0.000 0.336
Sn 0.000 0.000 0.664
Pt 0.500 0.500 0.000
Pt 0.500 0.500 0.336
Pt 0.500 0.500 0.664
Pt 0.500 0.000 0.173
Pt 0.500 0.000 0.500
Pt 0.500 0.000 0.827
Pt 0.000 0.500 0.173
Pt 0.000 0.500 0.500
Pt 0.000 0.500 0.827
Pb 0.000 0.000 0.000

Results
- calculated total energy (eV/atom) = -5.8084
- energy of formation (eV/atom) = -0.302
- total magnetic moment (μB/cell) = 0.0



Entry 6:
Material: SnPtPb3
Method: DFT, PBE
State: optimized geometry

Unit cell a=5.426 b=5.426 c=5.426 alpha=90.00 beta=90.00 gamma=90.00
Atoms (fractional coordinates):
Pb 0.000 0.500 0.000
Pb 0.000 0.000 0.500
Pb 0.500 0.000 0.000
Sn 0.500 0.500 0.500
Pt 0.000 0.000 0.000

Results
- calculated total energy (eV/atom) = -4.0771
- energy of formation (eV/atom) = 0.157
- total magnetic moment (μB/cell) = 0.0
- energy relative to the lowest polymorph listed for this composition (eV per atom) = 0.000



Entry 7:
Material: Sn2PtPb
Method: DFT, PBE
State: optimized geometry

Unit cell a=3.637 b=3.637 c=9.967 alpha=79.49 beta=79.49 gamma=60.00
Atoms (fractional coordinates):
Pb 0.000 0.000 0.000
Sn 0.107 0.107 0.678
Sn 0.893 0.893 0.322
Pt 0.500 0.500 0.500

Results
- calculated total energy (eV/atom) = -4.6083
- energy of formation (eV/atom) = -0.170
- total magnetic moment (μB/cell) = 0.0



Entry 8:
Material: SnPtPb2
Method: DFT, PBE
State: optimized geometry

Unit cell a=3.628 b=3.628 c=10.238 alpha=79.79 beta=79.79 gamma=60.00
Atoms (fractional coordinates):
Pb 0.104 0.104 0.687
Pb 0.896 0.896 0.313
Sn 0.000 0.000 0.000
Pt 0.500 0.500 0.500

Results
- calculated total energy (eV/atom) = -4.3512
- energy of formation (eV/atom) = 0.014
- total magnetic moment (μB/cell) = 0.0



Which of these has the lowest calculated total energy?
Sn2Pt9Pb